Record 1
Here is a geometry-optimized NaCaWC2 structure from the Alexandria database. Energies are from PBE.

```
data_NaCaWC2
_symmetry_space_group_name_H-M 'P 4/m m m'
_symmetry_Int_Tables_number 123
_symmetry_space_group_name_Hall '-P 4 2'
_cell_length_a 4.2776
_cell_length_b 4.2776
_cell_length_c 4.1616
_cell_angle_alpha 90.00
_cell_angle_beta 90.00
_cell_angle_gamma 90.00
loop_
_atom_site_label
_atom_site_type_symbol
_atom_site_fract_x
_atom_site_fract_y
_atom_site_fract_z
Na1 Na 0.0000 0.0000 0.0000
Ca1 Ca 0.0000 0.0000 0.5000
W1 W 0.5000 0.5000 0.5000
C1 C 0.0000 0.5000 0.0000
```

Output
* magnetic moment: 0.00 Bohr magnetons per cell
* energy of formation from the pure elements: 3.021 eV per atom

Record 2
Here is a geometry-optimized CaNb3C structure from the Alexandria database. Energies are from PBE.

```
data_CaNb3C
_symmetry_space_group_name_H-M 'P m -3 m'
_symmetry_Int_Tables_number 221
_symmetry_space_group_name_Hall '-P 4 2 3'
_cell_length_a 4.4735
_cell_length_b 4.4735
_cell_length_c 4.4735
_cell_angle_alpha 90.00
_cell_angle_beta 90.00
_cell_angle_gamma 90.00
loop_
_atom_site_label
_atom_site_type_symbol
_atom_site_fract_x
_atom_site_fract_y
_atom_site_fract_z
Ca1 Ca 0.0000 0.0000 0.0000
Nb1 Nb 0.0000 0.5000 0.5000
C1 C 0.5000 0.5000 0.5000
```

Output
* magnetic moment: 0.00 Bohr magnetons per cell
* energy of formation from the pure elements: 0.243 eV per atom

Record 3
Here is a geometry-optimized CaNbC2 structure from the Alexandria database. Energies are from PBE.

```
data_CaNbC2
_symmetry_space_group_name_H-M 'I -4 2 d'
_symmetry_Int_Tables_number 122
_symmetry_space_group_name_Hall 'I -4 2bw'
_cell_length_a 5.8988
_cell_length_b 5.8988
_cell_length_c 7.5115
_cell_angle_alpha 90.00
_cell_angle_beta 90.00
_cell_angle_gamma 90.00
loop_
_atom_site_label
_atom_site_type_symbol
_atom_site_fract_x
_atom_site_fract_y
_atom_site_fract_z
Ca1 Ca 0.0000 0.0000 0.0000
Nb1 Nb 0.0000 0.0000 0.5000
C1 C 0.1849 0.2500 0.6250
```

Output
* magnetic moment: 0.00 Bohr magnetons per cell
* energy of formation from the pure elements: 0.342 eV per atom

Record 4
Here is a geometry-optimized CaNb2C structure from the Alexandria database. Energies are from PBE.

```
data_CaNb2C
_symmetry_space_group_name_H-M 'I -4 2 d'
_symmetry_Int_Tables_number 122
_symmetry_space_group_name_Hall 'I -4 2bw'
_cell_length_a 6.5219
_cell_length_b 6.5219
_cell_length_c 9.2416
_cell_angle_alpha 90.00
_cell_angle_beta 90.00
_cell_angle_gamma 90.00
loop_
_atom_site_label
_atom_site_type_symbol
_atom_site_fract_x
_atom_site_fract_y
_atom_site_fract_z
Ca1 Ca 0.0000 0.0000 0.0000
Nb1 Nb 0.0013 0.7500 0.6250
C1 C 0.0000 0.0000 0.5000
```

Output
* magnetic moment: 0.01 Bohr magnetons per cell
* energy of formation from the pure elements: 0.594 eV per atom

Record 5
Here is a geometry-optimized CaNbC2 structure from the Alexandria database. Energies are from PBE.

```
data_CaNbC2
_symmetry_space_group_name_H-M 'F m -3 m'
_symmetry_Int_Tables_number 225
_symmetry_space_group_name_Hall '-F 4 2 3'
_cell_length_a 5.8461
_cell_length_b 5.8461
_cell_length_c 5.8461
_cell_angle_alpha 90.00
_cell_angle_beta 90.00
_cell_angle_gamma 90.00
loop_
_atom_site_label
_atom_site_type_symbol
_atom_site_fract_x
_atom_site_fract_y
_atom_site_fract_z
Ca1 Ca 0.0000 0.0000 0.0000
Nb1 Nb 0.0000 0.0000 0.5000
C1 C 0.2500 0.2500 0.2500
```

Output
* magnetic moment: 0.00 Bohr magnetons per cell
* energy of formation from the pure elements: 1.139 eV per atom

Record 6
Here is a geometry-optimized CaNb3C structure from the Alexandria database. Energies are from PBE.

```
data_CaNb3C
_symmetry_space_group_name_H-M 'P m -3 m'
_symmetry_Int_Tables_number 221
_symmetry_space_group_name_Hall '-P 4 2 3'
_cell_length_a 4.6665
_cell_length_b 4.6665
_cell_length_c 4.6665
_cell_angle_alpha 90.00
_cell_angle_beta 90.00
_cell_angle_gamma 90.00
loop_
_atom_site_label
_atom_site_type_symbol
_atom_site_fract_x
_atom_site_fract_y
_atom_site_fract_z
Ca1 Ca 0.0000 0.0000 0.0000
Nb1 Nb 0.0000 0.0000 0.5000
C1 C 0.5000 0.5000 0.5000
```

Output
* magnetic moment: 0.00 Bohr magnetons per cell
* energy of formation from the pure elements: 3.475 eV per atom

Record 7
Here is a geometry-optimized RbCaNbC2 structure from the Alexandria database. Energies are from PBE.

```
data_RbCaNbC2
_symmetry_space_group_name_H-M 'P 4/m m m'
_symmetry_Int_Tables_number 123
_symmetry_space_group_name_Hall '-P 4 2'
_cell_length_a 4.5844
_cell_length_b 4.5844
_cell_length_c 5.0381
_cell_angle_alpha 90.00
_cell_angle_beta 90.00
_cell_angle_gamma 90.00
loop_
_atom_site_label
_atom_site_type_symbol
_atom_site_fract_x
_atom_site_fract_y
_atom_site_fract_z
Rb1 Rb 0.0000 0.0000 0.0000
Ca1 Ca 0.0000 0.0000 0.5000
Nb1 Nb 0.5000 0.5000 0.0000
C1 C 0.0000 0.5000 0.5000
```

Output
* magnetic moment: 0.00 Bohr magnetons per cell
* energy of formation from the pure elements: 2.954 eV per atom

Record 8
Here is a geometry-optimized Ca2NbSbC structure from the Alexandria database. Energies are from PBE.

```
data_Ca2NbSbC
_symmetry_space_group_name_H-M 'P 4/m m m'
_symmetry_Int_Tables_number 123
_symmetry_space_group_name_Hall '-P 4 2'
_cell_length_a 6.0458
_cell_length_b 6.0458
_cell_length_c 4.1953
_cell_angle_alpha 90.00
_cell_angle_beta 90.00
_cell_angle_gamma 90.00
loop_
_atom_site_label
_atom_site_type_symbol
_atom_site_fract_x
_atom_site_fract_y
_atom_site_fract_z
Ca1 Ca 0.0000 0.5000 0.0000
Nb1 Nb 0.0000 0.0000 0.5000
Sb1 Sb 0.5000 0.5000 0.0000
C1 C 0.5000 0.5000 0.5000
```

Output
* magnetic moment: 5.11 Bohr magnetons per cell
* raw formation energy: 1.454 eV per atom

Record 9
Here is a geometry-optimized Ca2NbTlC structure from the Alexandria database. Energies are from PBE.

```
data_Ca2NbTlC
_symmetry_space_group_name_H-M 'P 4/m m m'
_symmetry_Int_Tables_number 123
_symmetry_space_group_name_Hall '-P 4 2'
_cell_length_a 6.0877
_cell_length_b 6.0877
_cell_length_c 4.0912
_cell_angle_alpha 90.00
_cell_angle_beta 90.00
_cell_angle_gamma 90.00
loop_
_atom_site_label
_atom_site_type_symbol
_atom_site_fract_x
_atom_site_fract_y
_atom_site_fract_z
Ca1 Ca 0.0000 0.5000 0.0000
Nb1 Nb 0.0000 0.0000 0.5000
Tl1 Tl 0.5000 0.5000 0.0000
C1 C 0.5000 0.5000 0.5000
```

Output
* magnetic moment: 4.37 Bohr magnetons per cell
* energy of formation from the pure elements: 1.662 eV per atom

Record 10
Here is a geometry-optimized CaNbV2C structure from the Alexandria database. Energies are from PBE.

```
data_CaNbV2C
_symmetry_space_group_name_H-M 'P 4/m m m'
_symmetry_Int_Tables_number 123
_symmetry_space_group_name_Hall '-P 4 2'
_cell_length_a 4.0782
_cell_length_b 4.0782
_cell_length_c 4.7938
_cell_angle_alpha 90.00
_cell_angle_beta 90.00
_cell_angle_gamma 90.00
loop_
_atom_site_label
_atom_site_type_symbol
_atom_site_fract_x
_atom_site_fract_y
_atom_site_fract_z
Ca1 Ca 0.0000 0.0000 0.0000
Nb1 Nb 0.5000 0.5000 0.0000
V1 V 0.0000 0.5000 0.5000
C1 C 0.0000 0.0000 0.5000
```

Output
* magnetic moment: 0.50 Bohr magnetons per cell
* energy of formation from the pure elements: 0.507 eV per atom

Record 11
Here is a geometry-optimized CaNd3C8 structure from the Alexandria database. Energies are from PBE.

```
data_CaNd3C8
_symmetry_space_group_name_H-M 'I -4 2 m'
_symmetry_Int_Tables_number 121
_symmetry_space_group_name_Hall 'I -4 2'
_cell_length_a 7.2141
_cell_length_b 7.2141
_cell_length_c 7.9139
_cell_angle_alpha 90.00
_cell_angle_beta 90.00
_cell_angle_gamma 90.00
loop_
_atom_site_label
_atom_site_type_symbol
_atom_site_fract_x
_atom_site_fract_y
_atom_site_fract_z
Ca1 Ca 0.0000 0.0000 0.0000
Nd1 Nd 0.0000 0.0000 0.5000
Nd2 Nd 0.0000 0.5000 0.2500
C1 C 0.1653 0.1653 0.7673
C2 C 0.2398 0.2398 0.3734
```

Output
* magnetic moment: 0.00 Bohr magnetons per cell
* energy of formation from the pure elements: 0.136 eV per atom

Record 12
Here is a geometry-optimized Ca3NdC4O12 structure from the Alexandria database. Energies are from PBE.

```
data_Ca3NdC4O12
_symmetry_space_group_name_H-M 'R 3 2'
_symmetry_Int_Tables_number 155
_symmetry_space_group_name_Hall 'R 3 2"'
_cell_length_a 10.1968
_cell_length_b 10.1968
_cell_length_c 8.7941
_cell_angle_alpha 90.00
_cell_angle_beta 90.00
_cell_angle_gamma 120.00
loop_
_atom_site_label
_atom_site_type_symbol
_atom_site_fract_x
_atom_site_fract_y
_atom_site_fract_z
Ca1 Ca 0.0000 0.5312 0.0000
Nd1 Nd 0.0000 0.0000 0.0000
C1 C 0.0000 0.0000 0.5000
C2 C 0.0000 0.4641 0.5000
O1 O 0.0000 0.5918 0.5000
O2 O 0.0000 0.8727 0.5000
O3 O 0.0034 0.2049 0.8402
```

Output
* magnetic moment: 2.92 Bohr magnetons per cell
* raw formation energy: -2.157 eV per atom